A relaxed Ca2ZnTe crystal. Source: Alexandria, functional PBE.

Lattice parameters (Å, degrees): 3.931 3.916 8.157 61.25 90.00 90.00
Atoms (fractional coordinates):
Zn1 0.500 0.750 0.750
Te1 0.500 0.250 0.250
Ca1 0.000 0.006 0.993
Ca2 0.000 0.494 0.507

Results
E_form (uncorrected) ... -780.6 meV/atom
Energy above the most stable polymorph in this dataset ... 0.000 eV/atom
Symmetry ... P2/m
Volume ... 110 Å³/cell
Total moment ... 0.000 μB per atom